7
Lattice="2.131 -7.171 0.000 2.131 7.171 0.000 0.000 0.000 4.246" Properties=species:S:1:pos:R:3 comment="NpSi2Au4 PBE-GGA optimized geometry" spacegroup="No. 65" m_tot_mub_per_cell=4.07 formation_energy_uncorrected_kj_per_mol_fu=-136 pbc="T T T"
Np 0.000 0.000 0.000
Si 2.131 1.147 2.123
Si 2.131 -1.147 2.123
Au 2.131 4.671 2.123
Au 2.131 2.498 0.000
Au 2.131 -2.498 0.000
Au 2.131 -4.671 2.123